Model i:
# Na2Ca2Bi (PBE-GGA, optimized geometry)
# - Symmetry: No. 127
# - DOS at the Fermi energy: 4.980 states/eV/f.u.
# - Crystal system: tetragonal
data_Na2Ca2Bi
_chemical_formula_sum 'Na4 Ca4 Bi2'
_space_group_name_H-M_alt 'P 1'
_space_group_IT_number 1
_space_group_name_Hall 'P 1'
_cell_length_a 8.0125
_cell_length_b 8.0125
_cell_length_c 5.2469
_cell_angle_alpha 90.00
_cell_angle_beta 90.00
_cell_angle_gamma 90.00
loop_
_atom_site_label
_atom_site_type_symbol
_atom_site_fract_x
_atom_site_fract_y
_atom_site_fract_z
Na1 Na 0.8703 0.6297 0.0000
Ca1 Ca 0.8143 0.3143 0.5000
Na2 Na 0.3703 0.8703 0.0000
Bi1 Bi 0.5000 0.5000 0.0000
Na3 Na 0.6297 0.1297 0.0000
Ca2 Ca 0.3143 0.1857 0.5000
Na4 Na 0.1297 0.3703 0.0000
Bi2 Bi 0.0000 0.0000 0.0000
Ca3 Ca 0.6857 0.8143 0.5000
Ca4 Ca 0.1857 0.6857 0.5000

=====

Model ii:
# Na2Ca2Bi (PBE-GGA, optimized geometry)
# - Symmetry: No. 139
# - DOS at the Fermi energy: 4.616 states/eV/f.u.
# - Crystal system: tetragonal
data_Na2Ca2Bi
_chemical_formula_sum 'Na2 Ca2 Bi1'
_space_group_name_H-M_alt 'P 1'
_space_group_IT_number 1
_space_group_name_Hall 'P 1'
_cell_length_a 4.2803
_cell_length_b 4.2803
_cell_length_c 10.2984
_cell_angle_alpha 78.01
_cell_angle_beta 78.01
_cell_angle_gamma 90.00
loop_
_atom_site_label
_atom_site_type_symbol
_atom_site_fract_x
_atom_site_fract_y
_atom_site_fract_z
Ca1 Ca 0.4162 0.4162 0.1677
Na1 Na 0.7500 0.2500 0.5000
Na2 Na 0.2500 0.7500 0.5000
Bi1 Bi 0.0000 0.0000 0.0000
Ca2 Ca 0.5838 0.5838 0.8323

=====

Least stable structure: model i

=====

Model i:
# NaCaBiPb (PBE-GGA, optimized geometry)
# - Symmetry: No. 216
# - DOS at the Fermi energy: 2.430 states/eV/f.u.
# - Crystal system: cubic
data_NaCaBiPb
_chemical_formula_sum 'Na1 Ca1 Bi1 Pb1'
_space_group_name_H-M_alt 'P 1'
_space_group_IT_number 1
_space_group_name_Hall 'P 1'
_cell_length_a 5.5391
_cell_length_b 5.5391
_cell_length_c 5.5391
_cell_angle_alpha 60.00
_cell_angle_beta 60.00
_cell_angle_gamma 60.00
loop_
_atom_site_label
_atom_site_type_symbol
_atom_site_fract_x
_atom_site_fract_y
_atom_site_fract_z
Pb1 Pb 0.2500 0.2500 0.2500
Ca1 Ca 0.5000 0.5000 0.5000
Bi1 Bi 0.7500 0.7500 0.7500
Na1 Na 0.0000 0.0000 0.0000

=====

Model ii:
# NaCaBiPb (PBE-GGA, optimized geometry)
# - Symmetry: No. 47
# - DOS at the Fermi energy: 1.557 states/eV/f.u.
# - Crystal system: orthorhombic
data_NaCaBiPb
_chemical_formula_sum 'Na1 Ca1 Bi1 Pb1'
_space_group_name_H-M_alt 'P 1'
_space_group_IT_number 1
_space_group_name_Hall 'P 1'
_cell_length_a 4.8924
_cell_length_b 5.1546
_cell_length_c 4.6911
_cell_angle_alpha 90.00
_cell_angle_beta 90.00
_cell_angle_gamma 90.00
loop_
_atom_site_label
_atom_site_type_symbol
_atom_site_fract_x
_atom_site_fract_y
_atom_site_fract_z
Na1 Na 0.0000 0.0000 0.0000
Pb1 Pb 0.5000 0.0000 0.5000
Ca1 Ca 0.5000 0.5000 0.0000
Bi1 Bi 0.0000 0.5000 0.5000

=====

Least stable structure: model i

=====

Model i:
# NaCaTlBi (PBE-GGA, optimized geometry)
# - Symmetry: No. 119
# - DOS at the Fermi energy: 1.770 states/eV/f.u.
# - Crystal system: tetragonal
data_NaCaTlBi
_chemical_formula_sum 'Na1 Ca1 Tl1 Bi1'
_space_group_name_H-M_alt 'P 1'
_space_group_IT_number 1
_space_group_name_Hall 'P 1'
_cell_length_a 5.1953
_cell_length_b 5.1951
_cell_length_c 5.7584
_cell_angle_alpha 116.83
_cell_angle_beta 116.81
_cell_angle_gamma 90.00
loop_
_atom_site_label
_atom_site_type_symbol
_atom_site_fract_x
_atom_site_fract_y
_atom_site_fract_z
Tl1 Tl 0.7500 0.2501 0.5000
Na1 Na 0.0000 0.0000 0.0000
Ca1 Ca 0.5000 0.5000 0.0000
Bi1 Bi 0.2500 0.7499 0.5000

=====

Model ii:
# NaCaTlBi (PBE-GGA, optimized geometry)
# - Symmetry: No. 216
# - DOS at the Fermi energy: 3.150 states/eV/f.u.
# - Crystal system: cubic
data_NaCaTlBi
_chemical_formula_sum 'Na1 Ca1 Tl1 Bi1'
_space_group_name_H-M_alt 'P 1'
_space_group_IT_number 1
_space_group_name_Hall 'P 1'
_cell_length_a 5.5429
_cell_length_b 5.5429
_cell_length_c 5.5429
_cell_angle_alpha 60.00
_cell_angle_beta 60.00
_cell_angle_gamma 60.00
loop_
_atom_site_label
_atom_site_type_symbol
_atom_site_fract_x
_atom_site_fract_y
_atom_site_fract_z
Tl1 Tl 0.2500 0.2500 0.2500
Na1 Na 0.0000 0.0000 0.0000
Bi1 Bi 0.7500 0.7500 0.7500
Ca1 Ca 0.5000 0.5000 0.5000

=====

Least stable structure: model ii

=====

Model i:
# CaNb3Bi (PBE-GGA, optimized geometry)
# - Symmetry: No. 221
# - DOS at the Fermi energy: 8.114 states/eV/f.u.
# - Crystal system: cubic
data_CaNb3Bi
_chemical_formula_sum 'Ca1 Nb3 Bi1'
_space_group_name_H-M_alt 'P 1'
_space_group_IT_number 1
_space_group_name_Hall 'P 1'
_cell_length_a 4.8845
_cell_length_b 4.8845
_cell_length_c 4.8845
_cell_angle_alpha 90.00
_cell_angle_beta 90.00
_cell_angle_gamma 90.00
loop_
_atom_site_label
_atom_site_type_symbol
_atom_site_fract_x
_atom_site_fract_y
_atom_site_fract_z
Bi1 Bi 0.5000 0.5000 0.5000
Ca1 Ca 0.0000 0.0000 0.0000
Nb1 Nb 0.0000 0.5000 0.0000
Nb2 Nb 0.5000 0.0000 0.0000
Nb3 Nb 0.0000 0.0000 0.5000

=====

Model ii:
# CaNb3Bi (PBE-GGA, optimized geometry)
# - Symmetry: No. 221
# - DOS at the Fermi energy: 10.978 states/eV/f.u.
# - Crystal system: cubic
data_CaNb3Bi
_chemical_formula_sum 'Ca1 Nb3 Bi1'
_space_group_name_H-M_alt 'P 1'
_space_group_IT_number 1
_space_group_name_Hall 'P 1'
_cell_length_a 5.2579
_cell_length_b 5.2579
_cell_length_c 5.2579
_cell_angle_alpha 90.00
_cell_angle_beta 90.00
_cell_angle_gamma 90.00
loop_
_atom_site_label
_atom_site_type_symbol
_atom_site_fract_x
_atom_site_fract_y
_atom_site_fract_z
Nb1 Nb 0.0000 0.5000 0.0000
Nb2 Nb 0.0000 0.0000 0.5000
Bi1 Bi 0.0000 0.0000 0.0000
Ca1 Ca 0.5000 0.5000 0.5000
Nb3 Nb 0.5000 0.0000 0.0000

=====

Least stable structure: model i